{
  "formula": "V5Fe2Pt2Rh",
  "functional": "GGA-PBE",
  "state": "relaxed",
  "lattice_angstrom": [[9.7681, 0.0000, 0.0000], [0.0000, 9.7681, 0.0000], [0.0000, 0.0000, 2.8920]],
  "species": ["V", "V", "V", "V", "V", "V", "V", "V", "V", "V", "Fe", "Fe", "Fe", "Fe", "Pt", "Pt", "Pt", "Pt", "Rh", "Rh"],
  "fractional_positions": [[0.0000, 0.5000, 0.0000], [0.0761, 0.2000, 0.0000], [0.2000, 0.9239, 0.0000], [0.3000, 0.4239, 0.0000], [0.4239, 0.7000, 0.0000], [0.5000, 0.0000, 0.0000], [0.5761, 0.3000, 0.0000], [0.7000, 0.5761, 0.0000], [0.8000, 0.0761, 0.0000], [0.9239, 0.8000, 0.0000], [0.1290, 0.3710, 0.5000], [0.3710, 0.8710, 0.5000], [0.6290, 0.1290, 0.5000], [0.8710, 0.6290, 0.5000], [0.1720, 0.6720, 0.5000], [0.3280, 0.1720, 0.5000], [0.6720, 0.8280, 0.5000], [0.8280, 0.3280, 0.5000], [0.0000, 0.0000, 0.5000], [0.5000, 0.5000, 0.5000]],
  "total_energy_ev_per_atom": -8.28,
  "volume_a3_per_atom": 13.80
}